Dy2Mg2Ge3: optimized geometry, PBE.

Values from the calculation:
ΔH_f (0 K): -0.56 eV/atom
electronic total energy: -4.307 eV/atom

```
Dy2Mg2Ge3
1.0
7.640 -2.175 0.000
7.640 2.175 0.000
-7.130 0.000 9.691
Dy Mg Ge
4 4 6
direct
0.103 0.103 0.448 Dy
0.230 0.230 0.826 Dy
0.770 0.770 0.174 Dy
0.897 0.897 0.552 Dy
0.091 0.091 0.163 Mg
0.447 0.447 0.174 Mg
0.553 0.553 0.826 Mg
0.909 0.909 0.837 Mg
0.139 0.139 0.983 Ge
0.333 0.333 0.670 Ge
0.415 0.415 0.378 Ge
0.585 0.585 0.622 Ge
0.667 0.667 0.330 Ge
0.861 0.861 0.017 Ge
```